Here is a relaxed ThU2OsC4 crystal from the Alexandria database. Energies are from PBE. Values from VASP.

Geometry as Quantum ESPRESSO input:
```
&SYSTEM
  ibrav = 0, nat = 16, ntyp = 4
/
ATOMIC_SPECIES
Th 232.04 Th.upf
C 12.01 C.upf
U 238.03 U.upf
Os 190.23 Os.upf
ATOMIC_POSITIONS crystal
Th 0.104 0.208 0.750
C 0.000 0.000 0.000
U 0.369 0.739 0.952
U 0.631 0.261 0.452
U 0.369 0.739 0.548
C 0.739 0.477 0.884
C 0.000 0.000 0.500
C 0.445 0.889 0.750
C 0.261 0.523 0.384
C 0.739 0.477 0.616
Os 0.846 0.693 0.750
Os 0.154 0.307 0.250
U 0.631 0.261 0.048
C 0.555 0.111 0.250
C 0.261 0.523 0.116
Th 0.896 0.792 0.250
CELL_PARAMETERS angstrom
3.524 0.000 0.000
-1.762 5.925 0.000
0.000 0.000 11.707
```

Total magnetic moment in μB/f.u.: 0.0
Calculated total energy in eV/atom: -9.88
E_form in eV per atom: -0.1191

---

Here is a relaxed W4C5 crystal from the Alexandria database. Energies are from PBE. Values from VASP.

Geometry as Quantum ESPRESSO input:
```
&SYSTEM
  ibrav = 0, nat = 18, ntyp = 2
/
ATOMIC_SPECIES
C 12.01 C.upf
W 183.84 W.upf
ATOMIC_POSITIONS crystal
C 0.667 0.333 0.500
C 0.746 0.000 0.250
C 0.746 0.746 0.750
W 0.408 0.408 0.750
W 0.592 0.000 0.750
W 0.000 0.592 0.750
C 0.254 0.000 0.750
W 0.000 0.000 0.000
C 0.333 0.667 0.500
W 0.592 0.592 0.250
W 0.000 0.408 0.250
C 0.254 0.254 0.250
C 0.667 0.333 0.000
C 0.000 0.254 0.750
W 0.000 0.000 0.500
C 0.000 0.746 0.250
C 0.333 0.667 0.000
W 0.408 0.000 0.250
CELL_PARAMETERS angstrom
-1.234 5.914 0.882
-1.148 -4.050 4.422
5.349 0.800 2.121
```

Total magnetic moment in μB/f.u.: 0.0
Offset from the most stable computed form in eV per atom: 0.000
Calculated total energy in eV/atom: -10.14
E_form in eV per atom: 0.7398